Record 1
An optimized crystal structure of NaNdTmIn. Source: the Alexandria database, functional GGA-PBE.

Results
* calculated formation energy: -124 meV per atom
* space group: No. 216

Lattice parameters (Å, degrees): 5.444 5.444 5.444 60.00 60.00 60.00
Fractional coordinates of all 4 atoms:
1 Na 0.000 0.000 0.000
2 Nd 0.750 0.750 0.750
3 Tm 0.250 0.250 0.250
4 In 0.500 0.500 0.500



Record 2
An optimized crystal structure of NaNdYIn. Source: the Alexandria database, functional GGA-PBE.

Results
* calculated formation energy: -161 meV per atom
* space group: No. 216

Lattice parameters (Å, degrees): 5.480 5.480 5.480 60.00 60.00 60.00
Fractional coordinates of all 4 atoms:
1 Na 0.000 0.000 0.000
2 Nd 0.250 0.250 0.250
3 Y 0.750 0.750 0.750
4 In 0.500 0.500 0.500



Record 3
An optimized crystal structure of Na3InNi. Source: the Alexandria database, functional GGA-PBE.

Results
* energy above the lowest structure with this stoichiometry: 0.000 eV/atom
* calculated formation energy: 472 meV per atom
* space group: No. 221

Lattice parameters (Å, degrees): 5.298 5.298 5.298 90.00 90.00 90.00
Fractional coordinates of all 5 atoms:
1 Na 0.000 0.000 0.500
2 Na 0.000 0.500 0.000
3 Na 0.500 0.000 0.000
4 In 0.500 0.500 0.500
5 Ni 0.000 0.000 0.000



What did the second record say?
An optimized crystal structure of NaNdYIn. Source: the Alexandria database, functional GGA-PBE.

Results
* calculated formation energy: -161 meV per atom
* space group: No. 216

Lattice parameters (Å, degrees): 5.480 5.480 5.480 60.00 60.00 60.00
Fractional coordinates of all 4 atoms:
1 Na 0.000 0.000 0.000
2 Nd 0.250 0.250 0.250
3 Y 0.750 0.750 0.750
4 In 0.500 0.500 0.500